The following is a PBE calculation of crystalline NaGdHoIn at its relaxed geometry, from the Alexandria database.

a b c (Å): 7.6414 7.6414 7.6414
angles (deg): 90.00 90.00 90.00
Space group F-43m (No. 216)
Unique sites:
1 Na 0.0000 0.0000 0.0000 [4 per cell]
2 Gd 0.2500 0.2500 0.2500 [4 per cell]
3 Ho 0.2500 0.2500 0.7500 [4 per cell]
4 In 0.0000 0.0000 0.5000 [4 per cell]

Computed properties:
**DFT total energy**: -93.0 eV/cell
**Formation enthalpy at 0 K**: -0.131 eV/atom

---

The following is a PBE calculation of crystalline GdHoInNi at its relaxed geometry, from the Alexandria database.

a b c (Å): 7.2265 7.2265 7.2265
angles (deg): 90.00 90.00 90.00
Space group F-43m (No. 216)
Unique sites:
1 Gd 0.0000 0.0000 0.0000 [4 per cell]
2 Ho 0.0000 0.0000 0.5000 [4 per cell]
3 In 0.2500 0.2500 0.7500 [4 per cell]
4 Ni 0.2500 0.2500 0.2500 [4 per cell]

Computed properties:
**DFT total energy**: -113.6 eV/cell
**Formation enthalpy at 0 K**: -0.307 eV/atom

---

The following is a PBE calculation of crystalline PrGdHoIn at its relaxed geometry, from the Alexandria database.

a b c (Å): 7.8224 7.8224 7.8224
angles (deg): 90.00 90.00 90.00
Space group F-43m (No. 216)
Unique sites:
1 Pr 0.0000 0.0000 0.0000 [4 per cell]
2 Gd 0.0000 0.0000 0.5000 [4 per cell]
3 Ho 0.2500 0.2500 0.2500 [4 per cell]
4 In 0.2500 0.2500 0.7500 [4 per cell]

Computed properties:
**DFT total energy**: -107.3 eV/cell
**Formation enthalpy at 0 K**: -0.162 eV/atom

---

The following is a PBE calculation of crystalline GdHoInRh at its relaxed geometry, from the Alexandria database.

a b c (Å): 7.2283 7.2283 7.2283
angles (deg): 90.00 90.00 90.00
Space group F-43m (No. 216)
Unique sites:
1 Gd 0.0000 0.0000 0.0000 [4 per cell]
2 Ho 0.0000 0.0000 0.5000 [4 per cell]
3 In 0.2500 0.2500 0.7500 [4 per cell]
4 Rh 0.2500 0.2500 0.2500 [4 per cell]

Computed properties:
**DFT total energy**: -123.7 eV/cell
**Formation enthalpy at 0 K**: -0.547 eV/atom

---

Which of these has the highest formation enthalpy at 0 K?
NaGdHoIn